i | Below is crystalline LiCd6Hg8 at its relaxed geometry, with properties calculated at the PBE level. Values from VASP.

Results
- DOS(E_F) (states/eV per cell) = 3.743

Cell and atoms, written as Quantum ESPRESSO input:
```
&SYSTEM
  ibrav = 0, nat = 15, ntyp = 3
/
ATOMIC_SPECIES
Li 6.94 Li.upf
Cd 112.41 Cd.upf
Hg 200.59 Hg.upf
ATOMIC_POSITIONS crystal
Li 0.0000 0.0000 0.0000
Cd 0.0576 0.3736 0.7246
Cd 0.2754 0.9424 0.6264
Cd 0.3736 0.7246 0.0576
Cd 0.6264 0.2754 0.9424
Cd 0.7246 0.0576 0.3736
Cd 0.9424 0.6264 0.2754
Hg 0.1182 0.7853 0.4573
Hg 0.2147 0.5427 0.8818
Hg 0.3276 0.3276 0.3276
Hg 0.4573 0.1182 0.7853
Hg 0.5427 0.8818 0.2147
Hg 0.6724 0.6724 0.6724
Hg 0.7853 0.4573 0.1182
Hg 0.8818 0.2147 0.5427
CELL_PARAMETERS angstrom
4.2389 2.4473 6.2230
-4.2389 2.4473 6.2230
0.0000 -4.8946 6.2230
```

---

ii | Below is crystalline LiCd6Hg8 at its relaxed geometry, with properties calculated at the PBE level. Values from VASP.

Results
- DOS(E_F) (states/eV per cell) = 3.819

Cell and atoms, written as Quantum ESPRESSO input:
```
&SYSTEM
  ibrav = 0, nat = 15, ntyp = 3
/
ATOMIC_SPECIES
Li 6.94 Li.upf
Cd 112.41 Cd.upf
Hg 200.59 Hg.upf
ATOMIC_POSITIONS crystal
Li 0.0000 0.0000 0.0000
Cd 0.1042 0.4609 0.1916
Cd 0.3567 0.8958 0.1916
Cd 0.4609 0.3567 0.8084
Cd 0.5391 0.6433 0.1916
Cd 0.6433 0.1042 0.8084
Cd 0.8958 0.5391 0.8084
Hg 0.0476 0.2717 0.7030
Hg 0.2241 0.9524 0.7030
Hg 0.2717 0.2241 0.2970
Hg 0.3333 0.6667 0.6690
Hg 0.6667 0.3333 0.3310
Hg 0.7283 0.7759 0.7030
Hg 0.7759 0.0476 0.2970
Hg 0.9524 0.7283 0.2970
CELL_PARAMETERS angstrom
8.6786 0.0000 0.0000
-4.3393 7.5159 0.0000
0.0000 0.0000 5.6643
```

---

Quick one: least stable of them? i

---

i | Below is crystalline Li3Cd2Hg4 at its relaxed geometry, with properties calculated at the PBE level. Values from VASP.

Results
- DOS(E_F) (states/eV per cell) = 1.794

Cell and atoms, written as Quantum ESPRESSO input:
```
&SYSTEM
  ibrav = 0, nat = 9, ntyp = 3
/
ATOMIC_SPECIES
Li 6.94 Li.upf
Cd 112.41 Cd.upf
Hg 200.59 Hg.upf
ATOMIC_POSITIONS crystal
Li 0.0000 0.0000 0.0000
Li 0.3414 0.3414 0.2238
Li 0.6586 0.6586 0.7762
Cd 0.3317 0.3317 0.5632
Cd 0.6683 0.6683 0.4368
Hg 0.0088 0.0088 0.3066
Hg 0.3280 0.3280 0.9086
Hg 0.6720 0.6720 0.0914
Hg 0.9912 0.9912 0.6934
CELL_PARAMETERS angstrom
4.0776 -2.4706 0.0000
4.0776 2.4706 0.0000
-0.6151 0.0000 9.0657
```

---

ii | Below is crystalline Li3Cd2Hg4 at its relaxed geometry, with properties calculated at the PBE level. Values from VASP.

Results
- DOS(E_F) (states/eV per cell) = 1.757

Cell and atoms, written as Quantum ESPRESSO input:
```
&SYSTEM
  ibrav = 0, nat = 9, ntyp = 3
/
ATOMIC_SPECIES
Li 6.94 Li.upf
Cd 112.41 Cd.upf
Hg 200.59 Hg.upf
ATOMIC_POSITIONS crystal
Li 0.0000 0.0000 0.0000
Li 0.3387 0.3387 0.4225
Li 0.6613 0.6613 0.5775
Cd 0.3255 0.3255 0.7603
Cd 0.6745 0.6745 0.2397
Hg 0.0101 0.0101 0.3376
Hg 0.3371 0.3371 0.1001
Hg 0.6629 0.6629 0.8999
Hg 0.9899 0.9899 0.6624
CELL_PARAMETERS angstrom
4.2828 -2.4064 0.0000
4.2828 2.4064 0.0000
-0.4097 0.0000 9.0183
```

---

Quick one: least stable of them? ii